Density functional theory data (GGA-PBE) for a relaxed structure of KTi2Mn2. Values from VASP.

```
&SYSTEM
  ibrav = 0, nat = 10, ntyp = 3
/
ATOMIC_SPECIES
K 39.10 K.upf
Ti 47.87 Ti.upf
Mn 54.94 Mn.upf
CELL_PARAMETERS angstrom
4.137 0.000 0.000
0.000 4.137 0.000
0.000 0.000 12.721
ATOMIC_POSITIONS crystal
K 0.000 0.000 0.000
K 0.500 0.500 0.500
Ti 0.000 0.500 0.250
Ti 0.000 0.500 0.750
Ti 0.500 0.000 0.250
Ti 0.500 0.000 0.750
Mn 0.000 0.000 0.377
Mn 0.000 0.000 0.623
Mn 0.500 0.500 0.123
Mn 0.500 0.500 0.877
```

Values from the calculation:
Formation energy, eV per atom: 0.75
Total magnetic moment, μB/cell: 8.1
SG: I4/mmm, No. 139